Sr2VP2N6 | GGA-PBE | optimized geometry

POSCAR file:
```
Sr2VP2N6
1.0
-1.7306 2.4395 4.6452
1.1826 -2.2476 4.9065
4.2551 2.8332 3.3829
Sr V P N
2 1 2 6
direct
0.7742 0.7742 0.6775 Sr
0.2258 0.2258 0.3225 Sr
0.0000 0.0000 0.0000 V
0.4293 0.4293 0.7121 P
0.5707 0.5707 0.2879 P
0.7575 0.7575 0.2218 N
0.2632 0.7575 0.2218 N
0.7575 0.2632 0.2218 N
0.2425 0.7368 0.7782 N
0.7368 0.2425 0.7782 N
0.2425 0.2425 0.7782 N
```

Properties
Magnetic moment   0.00 μB/f.u.
Uncorrected energy   -7.322 eV per atom
Energy relative to the elements, uncorrected   -663 meV/atom
Space-group type   R-3m (166)